i:
## LuGa2Ag (PBE)

Data for crystalline LuGa2Ag at its relaxed geometry.

Lattice parameters (Å, degrees): 4.4108 4.4108 5.3563 65.69 65.69 60.00
Closest atoms and distances in Å follow each position.
Positions (direct):
Lu1 0.0000 0.0000 0.0000  8 Ga 2.97-3.19
Ga1 0.7743 0.7743 0.6770  3 Ag 2.68, 3 Lu 2.97
Ga2 0.2257 0.2257 0.3230  3 Ag 2.68, 3 Lu 2.97
Ag1 0.5000 0.5000 0.5000  6 Ga 2.68

Calculated values
Size of the total moment in μB per cell: 0.0
Crystal system: trigonal

***

ii:
## LuGa2Ag (PBE)

Data for crystalline LuGa2Ag at its relaxed geometry.

Lattice parameters (Å, degrees): 4.1985 4.2745 4.2745 90.00 90.00 90.00
Closest atoms and distances in Å follow each position.
Positions (direct):
Ga1 0.0000 0.0000 0.5000  4 Ag 3.00, 4 Lu 3.00, 4 Ga 3.02
Lu1 0.5000 0.5000 0.5000  8 Ga 3.00, 4 Ag 3.02
Ga2 0.0000 0.5000 0.0000  4 Ag 3.00, 4 Lu 3.00, 4 Ga 3.02
Ag1 0.5000 0.0000 0.0000  8 Ga 3.00, 4 Lu 3.02

Calculated values
Size of the total moment in μB per cell: 0.0
Crystal system: tetragonal

***

iii:
## LuGa2Ag (PBE)

Data for crystalline LuGa2Ag at its relaxed geometry.

Lattice parameters (Å, degrees): 4.7767 4.7767 4.7767 60.00 60.00 60.00
Closest atoms and distances in Å follow each position.
Positions (direct):
Ga1 0.2500 0.2500 0.2500  4 Lu 2.93, 4 Ag 2.93
Lu1 0.0000 0.0000 0.0000  8 Ga 2.93
Ga2 0.7500 0.7500 0.7500  4 Ag 2.93, 4 Lu 2.93
Ag1 0.5000 0.5000 0.5000  8 Ga 2.93

Calculated values
Size of the total moment in μB per cell: 0.0
Crystal system: cubic

***

iv:
## LuGa2Ag (PBE)

Data for crystalline LuGa2Ag at its relaxed geometry.

Lattice parameters (Å, degrees): 3.3545 3.3545 6.8993 90.00 90.00 90.00
Closest atoms and distances in Å follow each position.
Positions (direct):
Ga1 0.0000 0.0000 0.7774  4 Ag 2.83, 4 Lu 3.05, 1 Ga 3.07
Ga2 0.0000 0.0000 0.2226  4 Ag 2.83, 4 Lu 3.05, 1 Ga 3.07
Ag1 0.5000 0.5000 0.0000  8 Ga 2.83
Lu1 0.5000 0.5000 0.5000  8 Ga 3.05, 4 Lu 3.35

Calculated values
Size of the total moment in μB per cell: 0.1
Crystal system: tetragonal

***

Most stable to least stable, the ends of the list are ii and iv.

***

i:
## LuGaAg2 (PBE)

Data for crystalline LuGaAg2 at its relaxed geometry.

Lattice parameters (Å, degrees): 4.3030 4.3061 4.3061 90.00 90.00 90.00
Closest atoms and distances in Å follow each position.
Positions (direct):
Ag1 0.0000 0.5000 0.0000  4 Ga 3.04, 4 Lu 3.04, 4 Ag 3.04
Ga1 0.5000 0.0000 0.0000  8 Ag 3.04, 4 Lu 3.04
Ag2 0.0000 0.0000 0.5000  4 Ga 3.04, 4 Lu 3.04, 4 Ag 3.04
Lu1 0.5000 0.5000 0.5000  8 Ag 3.04, 4 Ga 3.04

Calculated values
Size of the total moment in μB per cell: 0.0
Crystal system: tetragonal

***

ii:
## LuGaAg2 (PBE)

Data for crystalline LuGaAg2 at its relaxed geometry.

Lattice parameters (Å, degrees): 4.7749 4.7749 4.7749 60.00 60.00 60.00
Closest atoms and distances in Å follow each position.
Positions (direct):
Ag1 0.7500 0.7500 0.7500  4 Ga 2.92, 4 Lu 2.92
Ag2 0.2500 0.2500 0.2500  4 Ga 2.92, 4 Lu 2.92
Ga1 0.0000 0.0000 0.0000  8 Ag 2.92
Lu1 0.5000 0.5000 0.5000  8 Ag 2.92

Calculated values
Size of the total moment in μB per cell: 0.0
Crystal system: cubic

***

iii:
## LuGaAg2 (PBE)

Data for crystalline LuGaAg2 at its relaxed geometry.

Lattice parameters (Å, degrees): 3.6297 3.6297 6.1551 90.00 90.00 90.00
Closest atoms and distances in Å follow each position.
Positions (direct):
Ag1 0.0000 0.0000 0.7559  4 Ga 2.97, 2 Ag 3.00-3.15, 4 Lu 3.01
Lu1 0.5000 0.5000 0.5000  8 Ag 3.01, 2 Ga 3.08
Ga1 0.5000 0.5000 0.0000  8 Ag 2.97, 2 Lu 3.08
Ag2 0.0000 0.0000 0.2441  4 Ga 2.97, 2 Ag 3.00-3.15, 4 Lu 3.01

Calculated values
Size of the total moment in μB per cell: 0.0
Crystal system: tetragonal

***

Most stable to least stable, the ends of the list are ii and iii.

***

i:
## Mg3Ga3Ag2 (PBE)

Data for crystalline Mg3Ga3Ag2 at its relaxed geometry.

Lattice parameters (Å, degrees): 5.5751 5.5751 5.5751 104.53 104.53 75.47
Closest atoms and distances in Å follow each position.
Positions (direct):
Mg1 0.5000 0.2101 0.2101  4 Ga 2.79-3.04, 4 Ag 2.97-2.99
Ag1 0.3102 0.3102 0.6898  3 Ga 2.68, 6 Mg 2.97-2.99
Ag2 0.6898 0.6898 0.3102  3 Ga 2.68, 6 Mg 2.97-2.99
Mg2 0.2101 0.7899 0.5000  4 Ga 2.79-3.04, 4 Ag 2.97-2.99
Ga1 0.7632 0.0000 0.7632  2 Ag 2.68, 2 Mg 2.79, 2 Ga 2.80
Ga2 0.2368 0.7632 0.0000  2 Ag 2.68, 2 Mg 2.79, 2 Ga 2.80
Ga3 0.0000 0.2368 0.2368  2 Ag 2.68, 2 Mg 2.79, 2 Ga 2.80
Mg3 0.7899 0.5000 0.7899  4 Ga 2.79-3.04, 4 Ag 2.97-2.99

Calculated values
Size of the total moment in μB per cell: 0.0
Crystal system: trigonal

***

ii:
## Mg3Ga3Ag2 (PBE)

Data for crystalline Mg3Ga3Ag2 at its relaxed geometry.

Lattice parameters (Å, degrees): 4.3846 5.4654 14.1909 90.00 90.00 113.65
Closest atoms and distances in Å follow each position.
Positions (direct):
Mg1 0.0749 0.1498 0.6116  3 Ag 2.94-3.01, 6 Ga 2.96-3.15, 1 Mg 3.21
Mg2 0.9251 0.8502 0.1116  3 Ag 2.94-3.01, 6 Ga 2.96-3.15, 1 Mg 3.21
Ag1 0.2189 0.4379 0.3906  4 Ga 2.61-2.79
Ag2 0.2189 0.4379 0.1094  4 Ga 2.61-2.79
Ga1 0.3908 0.7815 0.5455  1 Ga 2.54, 3 Ag 2.61-2.79
Ag3 0.7811 0.5621 0.6094  4 Ga 2.61-2.79
Mg3 0.9251 0.8502 0.3884  3 Ag 2.94-3.01, 6 Ga 2.96-3.15, 1 Mg 3.21
Ga2 0.6092 0.2185 0.0455  1 Ga 2.54, 3 Ag 2.61-2.79
Ga3 0.6092 0.2185 0.4545  1 Ga 2.54, 3 Ag 2.61-2.79
Mg4 0.0749 0.1498 0.8884  3 Ag 2.94-3.01, 6 Ga 2.96-3.15, 1 Mg 3.21
Mg5 0.3290 0.6581 0.7500  3 Ga 2.77-2.97, 4 Ag 3.00
Mg6 0.6710 0.3419 0.2500  3 Ga 2.77-2.97, 4 Ag 3.00
Ag4 0.7811 0.5621 0.8906  4 Ga 2.61-2.79
Ga4 0.3948 0.7895 0.2500  2 Ag 2.66, 5 Mg 2.77-2.96
Ga5 0.6052 0.2105 0.7500  2 Ag 2.66, 5 Mg 2.77-2.96
Ga6 0.3908 0.7815 0.9545  1 Ga 2.54, 3 Ag 2.61-2.79

Calculated values
Size of the total moment in μB per cell: 0.0
Crystal system: orthorhombic

***

Most stable to least stable, the ends of the list are ii and i.

***

i:
## MgGa6Ag8 (PBE)

Data for crystalline MgGa6Ag8 at its relaxed geometry.

Lattice parameters (Å, degrees): 6.8175 6.8175 6.8175 74.14 74.14 74.14
Closest atoms and distances in Å follow each position.
Positions (direct):
Ag1 0.1407 0.8091 0.4397  4 Ga 2.68-2.91, 5 Ag 2.82-2.96
Mg1 0.0000 0.0000 0.0000  8 Ag 3.02-3.22
Ag2 0.7944 0.7944 0.7944  6 Ag 2.82-2.88, 3 Ga 2.86, 1 Mg 3.02
Ga1 0.5675 0.1687 0.3604  5 Ag 2.68-2.91, 3 Ga 2.75-2.84
Ag3 0.2056 0.2056 0.2056  6 Ag 2.82-2.88, 3 Ga 2.86, 1 Mg 3.02
Ag4 0.8091 0.4397 0.1407  4 Ga 2.68-2.91, 5 Ag 2.82-2.96
Ga2 0.4325 0.8313 0.6396  5 Ag 2.68-2.91, 3 Ga 2.75-2.84
Ag5 0.1909 0.5603 0.8593  4 Ga 2.68-2.91, 5 Ag 2.82-2.96
Ga3 0.1687 0.3604 0.5675  5 Ag 2.68-2.91, 3 Ga 2.75-2.84
Ga4 0.3604 0.5675 0.1687  5 Ag 2.68-2.91, 3 Ga 2.75-2.84
Ag6 0.8593 0.1909 0.5603  4 Ga 2.68-2.91, 5 Ag 2.82-2.96
Ag7 0.5603 0.8593 0.1909  4 Ga 2.68-2.91, 5 Ag 2.82-2.96
Ga5 0.6396 0.4325 0.8313  5 Ag 2.68-2.91, 3 Ga 2.75-2.84
Ga6 0.8313 0.6396 0.4325  5 Ag 2.68-2.91, 3 Ga 2.75-2.84
Ag8 0.4397 0.1407 0.8091  4 Ga 2.68-2.91, 5 Ag 2.82-2.96

Calculated values
Size of the total moment in μB per cell: 0.0
Crystal system: trigonal

***

ii:
## MgGa6Ag8 (PBE)

Data for crystalline MgGa6Ag8 at its relaxed geometry.

Lattice parameters (Å, degrees): 7.1378 7.1378 7.1377 63.67 63.67 63.67
Closest atoms and distances in Å follow each position.
Positions (direct):
Ga1 0.9375 0.4321 0.7247  3 Ga 2.74-2.93, 4 Ag 2.75-2.97, 1 Mg 2.78
Ag1 0.9266 0.2225 0.3643  3 Ga 2.75-2.97, 5 Ag 2.81-2.91
Ga2 0.2753 0.0625 0.5679  3 Ga 2.74-2.93, 4 Ag 2.75-2.97, 1 Mg 2.78
Mg1 0.0000 0.0000 0.0000  6 Ga 2.78
Ag2 0.7775 0.6357 0.0734  3 Ga 2.75-2.97, 5 Ag 2.81-2.91
Ag3 0.6357 0.0734 0.7775  3 Ga 2.75-2.97, 5 Ag 2.81-2.91
Ag4 0.0734 0.7775 0.6357  3 Ga 2.75-2.97, 5 Ag 2.81-2.91
Ag5 0.5817 0.5817 0.5817  3 Ga 2.75, 1 Ag 2.77
Ag6 0.4183 0.4183 0.4183  3 Ga 2.75, 1 Ag 2.77
Ag7 0.2225 0.3643 0.9266  3 Ga 2.75-2.97, 5 Ag 2.81-2.91
Ga3 0.0625 0.5679 0.2753  3 Ga 2.74-2.93, 4 Ag 2.75-2.97, 1 Mg 2.78
Ga4 0.5679 0.2753 0.0625  3 Ga 2.74-2.93, 4 Ag 2.75-2.97, 1 Mg 2.78
Ga5 0.7247 0.9375 0.4321  3 Ga 2.74-2.93, 4 Ag 2.75-2.97, 1 Mg 2.78
Ag8 0.3643 0.9266 0.2225  3 Ga 2.75-2.97, 5 Ag 2.81-2.91
Ga6 0.4321 0.7247 0.9375  3 Ga 2.74-2.93, 4 Ag 2.75-2.97, 1 Mg 2.78

Calculated values
Size of the total moment in μB per cell: 0.0
Crystal system: trigonal

***

Most stable to least stable, the ends of the list are i and ii.